No. 1
The following is a GGA-PBE calculation of a relaxed Ca12Tl3N5 crystal, from Alexandria.

Cell: 13.9328 13.9328 13.9328 Å, 109.47 109.47 109.47°
Fractional positions:
1 N 0.0000 0.0000 0.5000
2 Tl 0.2500 0.6250 0.8750
3 N 0.2500 0.8750 0.1250
4 Ca 0.6853 0.1914 0.5840
5 Ca 0.8926 0.5840 0.8987
6 Ca 0.5840 0.6914 0.6853
7 N 0.0000 0.0000 0.0000
8 Ca 0.4160 0.1074 0.6013
9 N 0.5000 0.0000 0.5000
10 Ca 0.6013 0.6074 0.4160
11 Ca 0.3086 0.8926 0.9939
12 Ca 0.8987 0.0840 0.8926
13 Ca 0.3086 0.4160 0.8147
14 Ca 0.8926 0.3086 0.4939
15 Ca 0.4939 0.8086 0.8926
16 N 0.2500 0.3750 0.6250
17 Ca 0.1914 0.5061 0.6074
18 N 0.5000 0.0000 0.0000
19 Ca 0.1013 0.9160 0.1074
20 Ca 0.8086 0.3147 0.9160
21 Tl 0.8750 0.1250 0.2500
22 N 0.5000 0.5000 0.0000
23 N 0.7500 0.1250 0.8750
24 Ca 0.6914 0.1074 0.0061
25 N 0.7500 0.6250 0.3750
26 Ca 0.3987 0.3926 0.5840
27 Ca 0.6074 0.6013 0.9160
28 Ca 0.1074 0.4160 0.1013
29 Ca 0.8086 0.4939 0.3926
30 Tl 0.6250 0.3750 0.7500
31 Ca 0.0061 0.3987 0.8147
32 Tl 0.7500 0.8750 0.6250
33 Ca 0.8147 0.9160 0.3086
34 Ca 0.9939 0.3926 0.3086
35 Ca 0.6853 0.4939 0.6013
36 N 0.0000 0.5000 0.0000
37 Ca 0.6914 0.5840 0.1853
38 Ca 0.5061 0.1914 0.1074
39 N 0.8750 0.2500 0.6250
40 Tl 0.7500 0.3750 0.1250
41 Ca 0.3147 0.5061 0.3987
42 Ca 0.6013 0.9939 0.6853
43 Ca 0.5061 0.3147 0.8987
44 N 0.6250 0.7500 0.8750
45 Ca 0.0840 0.1853 0.1914
46 Ca 0.3926 0.3987 0.0840
47 Ca 0.4939 0.6853 0.1013
48 Ca 0.0840 0.8987 0.3926
49 Ca 0.1914 0.6853 0.0840
50 Tl 0.2500 0.1250 0.3750
51 Tl 0.1250 0.2500 0.8750
52 Tl 0.8750 0.7500 0.1250
53 Ca 0.1853 0.1013 0.9939
54 N 0.3750 0.2500 0.1250
55 Tl 0.3750 0.7500 0.6250
56 Ca 0.9939 0.6013 0.1853
57 Ca 0.8147 0.8987 0.0061
58 Ca 0.4160 0.3086 0.3147
59 Ca 0.1013 0.1853 0.4939
60 N 0.8750 0.6250 0.7500
61 N 0.6250 0.8750 0.2500
62 Ca 0.3147 0.8086 0.4160
63 N 0.5000 0.5000 0.5000
64 Ca 0.3926 0.9939 0.8086
65 Ca 0.1853 0.0840 0.6914
66 Ca 0.0061 0.6074 0.6914
67 N 0.0000 0.5000 0.5000
68 Tl 0.6250 0.2500 0.3750
69 N 0.1250 0.7500 0.3750
70 Tl 0.1250 0.8750 0.7500
71 Ca 0.6074 0.0061 0.1914
72 Ca 0.1074 0.6914 0.5061
73 N 0.1250 0.3750 0.2500
74 Ca 0.8987 0.8147 0.5061
75 Ca 0.5840 0.8926 0.3987
76 Ca 0.3987 0.0061 0.3147
77 Ca 0.9160 0.8147 0.8086
78 Ca 0.9160 0.1013 0.6074
79 N 0.3750 0.1250 0.7500
80 Tl 0.3750 0.6250 0.2500

Output
- mass density (g cm⁻³) = 3.71
- symmetry = Ia-3d
- formation energy from raw total energies (eV/atom) = -0.5027

---

No. 2
The following is a GGA-PBE calculation of a relaxed Cr3SnBi crystal, from Alexandria.

Cell: 5.1961 5.1961 5.1961 Å, 90.00 90.00 90.00°
Last column: magnetic moment on the atom in μB.
Fractional positions:
1 Cr 0.0000 0.5000 0.0000  3.69
2 Cr 0.5000 0.0000 0.0000  3.61
3 Sn 0.5000 0.5000 0.5000  -0.27
4 Cr 0.0000 0.0000 0.5000  3.91
5 Bi 0.0000 0.0000 0.0000  -0.19

Output
- mass density (g cm⁻³) = 5.73
- symmetry = Pm-3m
- ΔE to the lowest computed polymorph (meV/atom) = 186

---

No. 3
The following is a GGA-PBE calculation of a relaxed Pd13W3 crystal, from Alexandria.

Cell: 5.6352 5.6352 7.7298 Å, 90.00 90.00 89.80°
Fractional positions:
1 Pd 0.2427 0.2405 0.0000
2 Pd 0.9961 0.4964 0.7527
3 Pd 0.5036 0.0039 0.2473
4 Pd 0.9961 0.4964 0.2473
5 Pd 0.5026 0.4974 0.2450
6 W 0.9981 0.0019 0.2486
7 Pd 0.7579 0.2421 0.5000
8 Pd 0.2484 0.7516 0.5000
9 Pd 0.2419 0.7581 0.0000
10 Pd 0.5026 0.4974 0.7550
11 Pd 0.7595 0.7573 0.0000
12 Pd 0.2430 0.2402 0.5000
13 Pd 0.5036 0.0039 0.7527
14 Pd 0.7598 0.7570 0.5000
15 W 0.9981 0.0019 0.7514
16 W 0.7460 0.2540 0.0000

Output
- mass density (g cm⁻³) = 13.09
- E_tot (Ry per atom) = -0.4929
- symmetry = Amm2

---

No. 4
The following is a GGA-PBE calculation of a relaxed Ti5NiRu4 crystal, from Alexandria.

Cell: 3.0855 3.0855 15.1938 Å, 90.00 90.00 90.00°
Fractional positions:
1 Ru 0.0000 0.0000 0.8049
2 Ti 0.5000 0.5000 0.2971
3 Ti 0.5000 0.5000 0.5000
4 Ru 0.0000 0.0000 0.6016
5 Ti 0.5000 0.5000 0.7029
6 Ni 0.0000 0.0000 0.0000
7 Ru 0.0000 0.0000 0.3984
8 Ti 0.5000 0.5000 0.0957
9 Ru 0.0000 0.0000 0.1951
10 Ti 0.5000 0.5000 0.9043

Output
- mass density (g cm⁻³) = 8.06
- E_tot (Ry per atom) = -0.6548
- symmetry = P4/mmm

---

No. 5
The following is a GGA-PBE calculation of a relaxed TmFe2H8 crystal, from Alexandria.

Cell: 4.1942 4.3927 4.3927 Å, 117.85 89.41 89.41°
Last column: magnetic moment on the atom in μB.
Fractional positions:
1 H 0.6046 0.0182 0.2808  -0.01
2 Tm 0.0747 0.0743 0.0743  -0.03
3 H 0.7888 0.6145 0.6145  -0.01
4 H 0.9201 0.6474 0.2057  -0.01
5 Fe 0.5658 0.6729 0.3327  1.07
6 Fe 0.5658 0.3327 0.6729  1.07
7 H 0.3245 0.5909 0.0086  -0.01
8 H 0.3068 0.5200 0.5200  -0.01
9 H 0.3245 0.0086 0.5909  -0.01
10 H 0.6046 0.2808 0.0182  -0.01
11 H 0.9201 0.2057 0.6474  -0.01

Output
- mass density (g cm⁻³) = 6.70
- E_tot (Ry per atom) = -0.3315
- symmetry = Cm

---

No. 6
The following is a GGA-PBE calculation of a relaxed TlSb2Ir crystal, from Alexandria.

Cell: 4.1045 4.1045 7.6898 Å, 74.69 74.69 59.82°
Fractional positions:
1 Ir 0.2500 0.2500 0.2500
2 Tl 0.7500 0.7500 0.7500
3 Sb 0.9740 0.9740 0.0772
4 Sb 0.5260 0.5260 0.4228

Output
- mass density (g cm⁻³) = 9.97
- symmetry = C2/m
- formation energy from raw total energies (eV/atom) = -0.0929
- ΔE to the lowest computed polymorph (meV/atom) = 0

---

No. 7
The following is a GGA-PBE calculation of a relaxed Ce2Cd3Pb3 crystal, from Alexandria.

Cell: 4.9526 4.7595 9.1948 Å, 90.00 90.00 90.00°
Last column: magnetic moment on the atom in μB.
Fractional positions:
1 Pb 0.0000 0.5000 0.5000  0.01
2 Cd 0.5000 0.0000 0.0000  0.01
3 Cd 0.5000 0.5000 0.7609  0.00
4 Pb 0.0000 0.5000 0.0000  0.01
5 Ce 0.0000 0.0000 0.7469  0.77
6 Cd 0.5000 0.5000 0.2391  0.00
7 Ce 0.0000 0.0000 0.2531  0.77
8 Pb 0.5000 0.0000 0.5000  0.00

Output
- mass density (g cm⁻³) = 9.49
- E_tot (Ry per atom) = -0.2597
- symmetry = Pmmm

---

No. 8
The following is a GGA-PBE calculation of a relaxed Tl2HgPbBr crystal, from Alexandria.

Cell: 6.2264 5.8255 6.2264 Å, 90.00 90.00 90.00°
Fractional positions:
1 Hg 0.0000 0.5000 0.0000
2 Tl 0.0000 0.0000 0.5000
3 Pb 0.0000 0.0000 0.0000
4 Br 0.5000 0.5000 0.5000
5 Tl 0.5000 0.0000 0.0000

Output
- mass density (g cm⁻³) = 6.59
- symmetry = P4/mmm
- formation energy from raw total energies (eV/atom) = -0.0202